Record 1
PmCoSiN | GGA-PBE | optimized geometry

The raw formation energy comes out at -1074 meV per atom.

The structure in CIF format:
```
data_PmCoSiN
_chemical_formula_sum 'Pm2 Co2 Si2 N2'
_cell_length_a 3.764
_cell_length_b 3.764
_cell_length_c 8.159
_cell_angle_alpha 90.00
_cell_angle_beta 90.00
_cell_angle_gamma 90.00
_symmetry_space_group_name_H-M 'P 4/n m m'
_symmetry_Int_Tables_number 129
loop_
_symmetry_equiv_pos_as_xyz
'x,y,z'
'-x,-y,-z'
'-y+1/2,x,z'
'y+1/2,-x,-z'
'-x+1/2,-y+1/2,z'
'x+1/2,y+1/2,-z'
'y,-x+1/2,z'
'-y,x+1/2,-z'
'x+1/2,-y,-z'
'-x+1/2,y,z'
'-y,-x,-z'
'y,x,z'
'-x,y+1/2,-z'
'x,-y+1/2,z'
'y+1/2,x+1/2,-z'
'-y+1/2,-x+1/2,z'
loop_
_atom_site_label
_atom_site_type_symbol
_atom_site_fract_x
_atom_site_fract_y
_atom_site_fract_z
_atom_site_occupancy
Pm1 Pm 0.250 0.250 0.161 1
Co1 Co 0.250 0.750 0.500 1
Si1 Si 0.250 0.250 0.650 1
N1 N 0.250 0.250 0.867 1
```

=====

Record 2
Pm3Co6Si5 | GGA-PBE | optimized geometry

The raw formation energy comes out at -641 meV per atom.

The structure in CIF format:
```
data_Pm3Co6Si5
_chemical_formula_sum 'Pm6 Co12 Si10'
_cell_length_a 3.863
_cell_length_b 11.760
_cell_length_c 9.718
_cell_angle_alpha 90.00
_cell_angle_beta 90.00
_cell_angle_gamma 90.00
_symmetry_space_group_name_H-M 'P m m n'
_symmetry_Int_Tables_number 59
loop_
_symmetry_equiv_pos_as_xyz
'x,y,z'
'-x,-y,-z'
'-x+1/2,-y+1/2,z'
'x+1/2,y+1/2,-z'
'x+1/2,-y,-z'
'-x+1/2,y,z'
'-x,y+1/2,-z'
'x,-y+1/2,z'
loop_
_atom_site_label
_atom_site_type_symbol
_atom_site_fract_x
_atom_site_fract_y
_atom_site_fract_z
_atom_site_occupancy
Pm1 Pm 0.250 0.093 0.242 1
Pm2 Pm 0.250 0.750 0.250 1
Co1 Co 0.250 0.053 0.903 1
Co2 Co 0.250 0.250 0.521 1
Co3 Co 0.250 0.250 0.995 1
Co4 Co 0.250 0.578 0.490 1
Si1 Si 0.250 0.075 0.641 1
Si2 Si 0.250 0.627 0.994 1
Si3 Si 0.250 0.750 0.596 1
```

=====

no.,total DFT energy (no corrections) (eV/atom)
1,-7.47
2,-6.64